CsBr: single point on PBEsol structure, meta-GGA SCAN.

Computed properties:
total moment = 0.0 Bohr magnetons per cell
formation energy from raw total energies = -1.9893 eV/atom

Unit cell a=4.2420 b=4.2420 c=4.2420 alpha=90.00 beta=90.00 gamma=90.00
Last column: nearest neighbours and their distance in Å.
Space group Pm-3m (No. 221)
Symmetry-distinct sites (fractional):
Cs 0.0000 0.0000 0.0000 [1 per cell]  8 Br 3.67
Br 0.5000 0.5000 0.5000 [1 per cell]  8 Cs 3.67

---

CsBr3: single point on PBEsol structure, meta-GGA SCAN.

Computed properties:
total moment = 0.0 Bohr magnetons per cell
formation energy from raw total energies = -1.0728 eV/atom

Unit cell a=9.8768 b=6.5438 c=9.4977 alpha=90.00 beta=90.00 gamma=90.00
Last column: nearest neighbours and their distance in Å.
Space group Pnma (No. 62)
Symmetry-distinct sites (fractional):
Cs 0.1866 0.2500 0.0389 [4 per cell]  8 Br 3.55-3.76
Br 0.0601 0.7500 0.2562 [4 per cell]  1 Br 2.50
Br 0.1269 0.2500 0.5665 [4 per cell]  2 Br 2.50-2.62
Br 0.1745 0.7500 0.8833 [4 per cell]  1 Br 2.62

---

CsBr: single point on PBEsol structure, meta-GGA SCAN.

Computed properties:
total moment = 0.1 Bohr magnetons per cell
formation energy from raw total energies = -1.9782 eV/atom

Unit cell a=7.1886 b=7.1886 c=7.1886 alpha=90.00 beta=90.00 gamma=90.00
Last column: nearest neighbours and their distance in Å.
Space group Fm-3m (No. 225)
Symmetry-distinct sites (fractional):
Cs 0.0000 0.0000 0.0000 [4 per cell]  6 Br 3.59
Br 0.0000 0.0000 0.5000 [4 per cell]  6 Cs 3.59

---

CsCuBr3: single point on PBEsol structure, meta-GGA SCAN.

Computed properties:
total moment = 0.0 Bohr magnetons per cell
formation energy from raw total energies = -1.0500 eV/atom

Unit cell a=7.4982 b=12.5663 c=12.4741 alpha=90.00 beta=90.00 gamma=90.00
Last column: nearest neighbours and their distance in Å.
Space group C222_1 (No. 20)
Symmetry-distinct sites (fractional):
Cs 0.0000 0.1763 0.2500 [4 per cell]  12 Br 3.66-3.87
Cs 0.0186 0.5000 0.0000 [4 per cell]  10 Br 3.57-3.95
Cu 0.0124 0.1562 0.8782 [8 per cell]  4 Br 2.36-2.49
Br 0.0000 0.3080 0.7500 [4 per cell]  2 Cu 2.49
Br 0.0109 0.0000 0.0000 [4 per cell]  2 Cu 2.48
Br 0.2047 0.2359 0.5110 [8 per cell]  1 Cu 2.36
Br 0.2449 0.0743 0.7780 [8 per cell]  1 Cu 2.38